# 1
Here is an optimized crystal structure of ThF from OQMD. Energies are from PBE-GGA.

Cell: 3.7555 3.7555 3.7555 Å, 60.00 60.00 60.00°
With the nearest neighbours (Å) after each atom.
Positions (direct):
Th: 0.0000 0.0000 0.0000  6 F 2.66
F: 0.5000 0.5000 0.5000  6 Th 2.66

Symmetry: Fm-3m
ρ (g cm⁻³): 11.1
Electronic total energy (eV per atom): -6.50
Distance to the lowest polymorph of the same formula (eV per atom): 0.1471

***

# 2
Here is an optimized crystal structure of ThF2 from OQMD. Energies are from PBE-GGA.

Cell: 6.0098 6.0098 3.2705 Å, 90.00 90.00 90.00°
With the nearest neighbours (Å) after each atom.
Positions (direct):
Th: 0.0000 0.0000 0.0000  6 F 2.36-2.50
Th: 0.5000 0.5000 0.5000  6 F 2.36-2.50
F: 0.2229 0.2229 0.5000  3 Th 2.36-2.50
F: 0.2771 0.7229 0.0000  3 Th 2.36-2.50
F: 0.7229 0.2771 0.0000  3 Th 2.36-2.50
F: 0.7771 0.7771 0.5000  3 Th 2.36-2.50

Symmetry: P4_2/mnm
ρ (g cm⁻³): 7.6
Electronic total energy (eV per atom): -6.51

***

# 3
Here is an optimized crystal structure of ThF4 from OQMD. Energies are from PBE-GGA.

Cell: 8.4222 8.4222 8.4357 Å, 117.43 117.43 80.82°
With the nearest neighbours (Å) after each atom.
Positions (direct):
Th: 0.2111 0.7889 0.7500  8 F 2.29-2.34
Th: 0.2217 0.3678 0.1695  8 F 2.26-2.32
Th: 0.3678 0.2217 0.6695  8 F 2.26-2.32
Th: 0.6322 0.7783 0.3305  8 F 2.26-2.32
Th: 0.7783 0.6322 0.8305  8 F 2.26-2.32
Th: 0.7889 0.2111 0.2500  8 F 2.29-2.34
F: 0.0000 0.5000 0.0000  2 Th 2.26
F: 0.0356 0.7252 0.8578  2 Th 2.29-2.30
F: 0.0672 0.1605 0.4509  2 Th 2.29-2.31
F: 0.1605 0.0672 0.9509  2 Th 2.29-2.31
F: 0.1730 0.5984 0.4263  2 Th 2.31-2.34
F: 0.2544 0.3179 0.8937  2 Th 2.27-2.31
F: 0.2593 0.5014 0.7174  2 Th 2.30-2.31
F: 0.2748 0.9644 0.6422  2 Th 2.29-2.30
F: 0.3179 0.2544 0.3937  2 Th 2.27-2.31
F: 0.3900 0.6100 0.2500  2 Th 2.32
F: 0.4016 0.8270 0.0737  2 Th 2.31-2.34
F: 0.4986 0.7407 0.7826  2 Th 2.30-2.31
F: 0.5000 0.0000 0.5000  2 Th 2.26
F: 0.5014 0.2593 0.2174  2 Th 2.30-2.31
F: 0.5984 0.1730 0.9263  2 Th 2.31-2.34
F: 0.6100 0.3900 0.7500  2 Th 2.32
F: 0.6821 0.7456 0.6063  2 Th 2.27-2.31
F: 0.7252 0.0356 0.3578  2 Th 2.29-2.30
F: 0.7407 0.4986 0.2826  2 Th 2.30-2.31
F: 0.7456 0.6821 0.1063  2 Th 2.27-2.31
F: 0.8270 0.4016 0.5737  2 Th 2.31-2.34
F: 0.8395 0.9328 0.0491  2 Th 2.29-2.31
F: 0.9328 0.8395 0.5491  2 Th 2.29-2.31
F: 0.9644 0.2748 0.1422  2 Th 2.29-2.30

Symmetry: C2/c
ρ (g cm⁻³): 6.5
Electronic total energy (eV per atom): -7.11

***

Q: Which formula does entry 2 have?
A: ThF2